A relaxed structure of KHoCdS3, computed with PBE.

Results
uncorrected formation energy: -8.358 eV/f.u.
total energy: -4.5552 eV/atom

extended XYZ file:
```
12
Lattice="8.593 0.000 0.000 0.000 4.112 0.000 -3.054 0.000 9.550" Properties=species:S:1:pos:R:3 pbc="T T T"
K 1.140 1.028 2.082
K 4.400 3.084 7.467
Ho 0.207 3.084 8.261
Ho 5.333 1.028 1.288
Cd -1.143 1.028 5.845
Cd 6.683 3.084 3.704
S -1.681 1.028 8.281
S 0.276 3.084 5.268
S 3.522 3.084 1.369
S 2.017 1.028 8.181
S 5.263 1.028 4.282
S 7.221 3.084 1.269
```

---

A relaxed structure of Pt2SeI8, computed with PBE.

Results
uncorrected formation energy: 0.328 eV/f.u.
total energy: -2.5126 eV/atom

extended XYZ file:
```
11
Lattice="5.949 -5.287 0.000 5.949 5.287 0.000 -4.320 0.000 8.299" Properties=species:S:1:pos:R:3 pbc="T T T"
Pt 1.798 0.000 0.794
Pt 5.779 0.000 7.505
Se 3.789 0.000 4.149
I -0.745 0.000 1.605
I 2.517 1.946 2.608
I -0.127 0.000 7.985
I 5.060 1.946 5.690
I 2.517 -1.946 2.608
I 7.705 0.000 0.314
I 5.060 -1.946 5.690
I 8.323 0.000 6.694
```

---

Repeat the first record exactly.
A relaxed structure of KHoCdS3, computed with PBE.

Results
uncorrected formation energy: -8.358 eV/f.u.
total energy: -4.5552 eV/atom

extended XYZ file:
```
12
Lattice="8.593 0.000 0.000 0.000 4.112 0.000 -3.054 0.000 9.550" Properties=species:S:1:pos:R:3 pbc="T T T"
K 1.140 1.028 2.082
K 4.400 3.084 7.467
Ho 0.207 3.084 8.261
Ho 5.333 1.028 1.288
Cd -1.143 1.028 5.845
Cd 6.683 3.084 3.704
S -1.681 1.028 8.281
S 0.276 3.084 5.268
S 3.522 3.084 1.369
S 2.017 1.028 8.181
S 5.263 1.028 4.282
S 7.221 3.084 1.269
```